Compound: RuRh2
Source: Alexandria
Functional: PBE
Structure: relaxed

Cell lengths 2.717, 4.710, 7.073 Å; angles 109.45, 90.00, 90.00 degrees
Positions (direct):
Ru: 0.000 0.486 0.322
Ru: 0.000 0.165 0.678
Rh: 0.500 0.997 0.338
Rh: 0.500 0.659 0.662
Rh: 0.500 0.510 0.000
Rh: 0.000 0.010 0.000

Calculated values
The final energy is -7.87 eV/atom. The formation energy is 0.121 eV/atom. As for the offset from the most stable computed form: 110 meV/atom. For the calculated density, the calculation gives 11.944 Mg/m³.